Record 1
Ce2AlAu6: optimized geometry, PBE-GGA.

Properties
ΔE_f	-590	meV per atom
total moment	1.75	Bohr magnetons per cell

```
Ce2AlAu6
1.0
5.509 0.000 0.000
0.000 5.516 -3.185
0.000 0.000 6.369
Au Ce Al
6 2 1
Cartesian
4.433 4.523 1.465
1.076 0.993 4.649
1.076 3.530 3.185
1.076 0.993 1.720
4.433 4.523 -1.465
4.433 1.986 0.000
3.715 1.839 3.185
1.794 3.677 0.000
2.754 0.000 0.000
```

Record 2
CeAlAu: optimized geometry, PBE-GGA.

Properties
ΔE_f	-663	meV per atom
total moment	5.50	Bohr magnetons per cell

```
CeAlAu
1.0
4.580 0.000 0.000
0.000 7.832 0.000
0.000 0.000 14.904
Ce Al Au
8 8 8
Cartesian
0.000 2.276 7.452
0.000 1.650 3.671
2.290 6.182 11.123
2.290 5.567 7.452
2.290 5.556 0.000
0.000 2.265 0.000
0.000 1.650 11.233
2.290 6.182 3.781
2.290 3.259 5.166
0.000 7.168 6.046
0.000 4.573 2.286
0.000 4.573 12.618
2.290 0.664 1.406
2.290 0.664 13.498
2.290 3.259 9.738
0.000 7.168 8.858
0.000 7.152 1.651
2.290 0.680 5.801
0.000 7.152 13.253
0.000 4.588 5.247
2.290 0.680 9.103
2.290 3.244 12.699
0.000 4.588 9.657
2.290 3.244 2.205
```

Record 3
Ce3Al2Au9: optimized geometry, PBE-GGA.

Properties
ΔE_f	-550	meV per atom
total moment	2.76	Bohr magnetons per cell

```
Ce3Al2Au9
1.0
4.246 0.000 0.987
1.694 8.155 2.342
0.228 -0.113 8.649
Au Ce Al
9 3 2
Cartesian
4.599 3.349 9.101
4.206 5.746 10.791
1.580 0.140 2.830
5.209 6.793 6.475
0.959 1.249 5.503
4.588 7.902 9.147
1.570 4.693 2.876
0.961 4.021 5.495
1.962 2.296 1.186
2.612 5.655 8.022
3.557 2.387 3.956
0.000 0.000 0.000
2.798 2.409 7.218
3.370 5.633 4.759
```

Record 4
CeAl2Au3: optimized geometry, PBE-GGA.

Properties
ΔE_f	-593	meV per atom
total moment	1.80	Bohr magnetons per cell

```
CeAl2Au3
1.0
-2.764 -4.706 -0.854
5.164 -3.490 2.514
-3.523 1.048 5.626
Ce Al Au
2 4 6
Cartesian
-0.182 -1.934 2.312
-0.941 -5.213 4.974
-3.065 -2.266 4.540
-1.683 0.087 4.967
3.325 -2.529 3.173
1.942 -4.882 2.746
-1.983 -3.664 -0.193
-3.106 -3.461 2.326
0.860 -3.484 7.479
1.983 -3.686 4.960
-0.064 -5.050 1.236
-1.059 -2.097 6.049
```